The following is a DFT calculation (GGA-PBE) of a relaxed structure of PmAlGa4Pd2.

Unit cell a=4.4183 b=4.4183 c=8.9809 alpha=75.76 beta=75.76 gamma=60.00
Fractional coordinates of all 8 atoms:
Pm  0.0000  0.0000  0.0000
Al  0.5000  0.5000  0.5000
Ga  0.3967  0.3967  0.8098
Ga  0.8753  0.8753  0.3742
Ga  0.1247  0.1247  0.6258
Ga  0.6033  0.6033  0.1902
Pd  0.7634  0.7634  0.7098
Pd  0.2366  0.2366  0.2902

Calculated values
Formation energy ... -46.5 kJ per mole of atoms
ρ ... 7.571 g/cm3
Volume ... 145.6 Å³ per cell
N(E_F) ... 0.447 states/eV/atom